No. 1
First-principles (PBE) data for a relaxed structure of Ac3La5As8, as listed in Alexandria.

abc: 8.889 8.889 8.889
angles: 60.00 60.00 60.00
Fractional positions:
Ac1 0.000 0.500 0.500
Ac2 0.500 0.000 0.500
Ac3 0.500 0.500 0.000
La1 0.000 0.000 0.000
La2 0.000 0.000 0.500
La3 0.000 0.500 0.000
La4 0.500 0.000 0.000
La5 0.500 0.500 0.500
As1 0.243 0.750 0.750
As2 0.247 0.247 0.247
As3 0.250 0.250 0.757
As4 0.250 0.757 0.250
As5 0.750 0.243 0.750
As6 0.750 0.750 0.243
As7 0.753 0.753 0.753
As8 0.757 0.250 0.250

Properties
energy relative to the elements: -1.53 eV/atom
calculated volume: 31.0 A^3/atom


No. 2
First-principles (PBE) data for a relaxed structure of LaTb6Te8, as listed in Alexandria.

abc: 8.739 8.739 8.739
angles: 60.00 60.00 60.00
Fractional positions:
La1 0.000 0.000 0.000
Tb1 0.000 0.000 0.500
Tb2 0.000 0.500 0.000
Tb3 0.000 0.500 0.500
Tb4 0.500 0.000 0.000
Tb5 0.500 0.000 0.500
Tb6 0.500 0.500 0.000
Te1 0.250 0.250 0.250
Te2 0.263 0.263 0.737
Te3 0.263 0.737 0.263
Te4 0.263 0.737 0.737
Te5 0.737 0.263 0.263
Te6 0.737 0.263 0.737
Te7 0.737 0.737 0.263
Te8 0.750 0.750 0.750

Properties
energy relative to the elements, uncorrected: -32.4 kcal/mol of atoms
calculated volume: 31.5 A^3/atom